1.
Density functional theory data (PBE) for a relaxed structure of HfUCu.

ΔH_f (0 K): 0.021 eV per atom
Calculated volume: 110.2 Å³ per cell
Magnetization: 0.4 μB per formula unit

Cell: 3.328 3.328 9.953 Å, 90.00 90.00 90.00°
Sites, in units of the cell vectors:
U: 0.000 0.500 0.571
U: 0.500 0.000 0.429
Cu: 0.000 0.500 0.936
Cu: 0.500 0.000 0.064
Hf: 0.500 0.000 0.783
Hf: 0.000 0.500 0.217

---

2.
Density functional theory data (PBE) for a relaxed structure of HfVCu2.

ΔH_f (0 K): 0.088 eV per atom
Calculated volume: 61.4 Å³ per cell
Magnetization: 2.6 μB per formula unit
Energy relative to the lowest polymorph listed for this composition: 0 meV/atom

Cell: 4.428 4.428 4.428 Å, 60.00 60.00 60.00°
Sites, in units of the cell vectors:
Cu: 0.250 0.250 0.250
Cu: 0.750 0.750 0.750
Hf: 0.500 0.500 0.500
V: 0.000 0.000 0.000

---

3.
Density functional theory data (PBE) for a relaxed structure of HfV2Cu2.

ΔH_f (0 K): 0.172 eV per atom
Calculated volume: 75.3 Å³ per cell
Magnetization: 0.0 μB per formula unit
Energy relative to the lowest polymorph listed for this composition: 0 meV/atom

Cell: 3.524 3.524 6.551 Å, 74.40 74.40 90.00°
Sites, in units of the cell vectors:
V: 0.250 0.750 0.500
V: 0.750 0.250 0.500
Cu: 0.403 0.403 0.195
Cu: 0.597 0.597 0.805
Hf: 0.000 0.000 0.000

---

4.
Density functional theory data (PBE) for a relaxed structure of Hf3VCu.

ΔH_f (0 K): 0.915 eV per atom
Calculated volume: 111.3 Å³ per cell
Magnetization: 0.0 μB per formula unit
Energy relative to the lowest polymorph listed for this composition: 102 meV/atom

Cell: 4.810 4.810 4.810 Å, 90.00 90.00 90.00°
Sites, in units of the cell vectors:
Hf: 0.000 0.000 0.500
Hf: 0.000 0.500 0.000
Hf: 0.500 0.000 0.000
V: 0.000 0.000 0.000
Cu: 0.500 0.500 0.500

---

5.
Density functional theory data (PBE) for a relaxed structure of HfV2Cu2.

ΔH_f (0 K): 0.257 eV per atom
Calculated volume: 148.0 Å³ per cell
Magnetization: 0.0 μB per formula unit
Energy relative to the lowest polymorph listed for this composition: 85 meV/atom

Cell: 7.134 7.134 2.908 Å, 90.00 90.00 90.00°
Sites, in units of the cell vectors:
Hf: 0.500 0.500 0.000
Hf: 0.000 0.000 0.000
Cu: 0.122 0.378 0.000
Cu: 0.878 0.622 0.000
Cu: 0.622 0.122 0.000
Cu: 0.378 0.878 0.000
V: 0.826 0.326 0.500
V: 0.174 0.674 0.500
V: 0.674 0.826 0.500
V: 0.326 0.174 0.500

---

6.
Density functional theory data (PBE) for a relaxed structure of HfV2Cu2.

ΔH_f (0 K): 0.220 eV per atom
Calculated volume: 146.8 Å³ per cell
Magnetization: 0.0 μB per formula unit
Energy relative to the lowest polymorph listed for this composition: 48 meV/atom

Cell: 7.445 7.445 2.648 Å, 90.00 90.00 90.00°
Sites, in units of the cell vectors:
V: 0.611 0.111 0.000
V: 0.889 0.611 0.000
V: 0.111 0.389 0.000
V: 0.389 0.889 0.000
Hf: 0.000 0.000 0.000
Hf: 0.500 0.500 0.000
Cu: 0.816 0.316 0.500
Cu: 0.184 0.684 0.500
Cu: 0.684 0.816 0.500
Cu: 0.316 0.184 0.500

---

7.
Density functional theory data (PBE) for a relaxed structure of HfV3Cu.

ΔH_f (0 K): 1.833 eV per atom
Calculated volume: 100.5 Å³ per cell
Magnetization: 3.3 μB per formula unit
Energy relative to the lowest polymorph listed for this composition: 807 meV/atom

Cell: 4.650 4.650 4.650 Å, 90.00 90.00 90.00°
Sites, in units of the cell vectors:
V: 0.000 0.500 0.000
V: 0.500 0.000 0.000
V: 0.000 0.000 0.500
Cu: 0.500 0.500 0.500
Hf: 0.000 0.000 0.000

---

8.
Density functional theory data (PBE) for a relaxed structure of HfVCu2.

ΔH_f (0 K): 0.408 eV per atom
Calculated volume: 125.3 Å³ per cell
Magnetization: 0.0 μB per formula unit
Energy relative to the lowest polymorph listed for this composition: 320 meV/atom

Cell: 7.056 7.056 5.588 Å, 50.85 50.85 90.00°
Sites, in units of the cell vectors:
Cu: 0.599 0.125 0.250
Cu: 0.151 0.625 0.250
Cu: 0.875 0.849 0.750
Cu: 0.375 0.401 0.750
Hf: 0.000 0.000 0.000
Hf: 0.750 0.250 0.500
V: 0.500 0.500 0.000
V: 0.250 0.750 0.500

---

9.
Density functional theory data (PBE) for a relaxed structure of Hf2V2Cu.

ΔH_f (0 K): 0.174 eV per atom
Calculated volume: 171.0 Å³ per cell
Magnetization: 0.0 μB per formula unit

Cell: 6.607 6.607 3.918 Å, 90.00 90.00 90.00°
Sites, in units of the cell vectors:
V: 0.627 0.127 0.000
V: 0.373 0.873 0.000
V: 0.127 0.373 0.000
V: 0.873 0.627 0.000
Hf: 0.173 0.673 0.500
Hf: 0.827 0.327 0.500
Hf: 0.327 0.173 0.500
Hf: 0.673 0.827 0.500
Cu: 0.500 0.500 0.000
Cu: 0.000 0.000 0.000

---

10.
Density functional theory data (PBE) for a relaxed structure of HfV3Cu.

ΔH_f (0 K): 1.026 eV per atom
Calculated volume: 87.9 Å³ per cell
Magnetization: 2.4 μB per formula unit
Energy relative to the lowest polymorph listed for this composition: 0 meV/atom

Cell: 4.446 4.446 4.446 Å, 90.00 90.00 90.00°
Sites, in units of the cell vectors:
V: 0.000 0.000 0.500
V: 0.500 0.000 0.000
V: 0.000 0.500 0.000
Hf: 0.500 0.500 0.500
Cu: 0.000 0.000 0.000

---

11.
Density functional theory data (PBE) for a relaxed structure of Hf3VCu.

ΔH_f (0 K): 0.813 eV per atom
Calculated volume: 113.1 Å³ per cell
Magnetization: 3.9 μB per formula unit
Energy relative to the lowest polymorph listed for this composition: 0 meV/atom

Cell: 4.837 4.837 4.837 Å, 90.00 90.00 90.00°
Sites, in units of the cell vectors:
Hf: 0.000 0.500 0.000
Hf: 0.000 0.000 0.500
Hf: 0.500 0.000 0.000
V: 0.500 0.500 0.500
Cu: 0.000 0.000 0.000

---

12.
Density functional theory data (PBE) for a relaxed structure of Hf2Cu2W.

ΔH_f (0 K): 0.432 eV per atom
Calculated volume: 90.1 Å³ per cell
Magnetization: 0.0 μB per formula unit
Energy relative to the lowest polymorph listed for this composition: 332 meV/atom

Cell: 4.918 4.918 5.097 Å, 61.15 61.15 90.00°
Sites, in units of the cell vectors:
W: 0.000 0.000 0.000
Cu: 0.356 0.356 0.287
Cu: 0.644 0.644 0.713
Hf: 0.250 0.750 0.500
Hf: 0.750 0.250 0.500